Computed, not measured: a relaxed structure of KNdInS3 at the PBE level of DFT.

E_tot: -0.345 Ry per atom
Total magnetization: 0.00 μB/f.u.
Crystal system: orthorhombic
Space group: Cmcm, No. 63
Volume: 177.7 Å³/f.u.

a = 7.372 Å, b = 7.372 Å, c = 11.003 Å
α = 90.00°, β = 90.00°, γ = 143.54°
Atoms (fractional coordinates):
1 In 0.986 0.014 0.250
2 In 0.014 0.986 0.750
3 K 0.248 0.752 0.250
4 K 0.752 0.248 0.750
5 Nd 0.500 0.500 0.000
6 Nd 0.500 0.500 0.500
7 S 0.878 0.122 0.062
8 S 0.568 0.432 0.250
9 S 0.878 0.122 0.438
10 S 0.122 0.878 0.562
11 S 0.432 0.568 0.750
12 S 0.122 0.878 0.938

***

Computed, not measured: a relaxed structure of KNpIn at the PBE level of DFT.

E_tot: -0.325 Ry per atom
Total magnetization: 5.12 μB/f.u.
Crystal system: cubic
Space group: F-43m, No. 216
Volume: 127.1 Å³/f.u.
Offset from the most stable computed form: 0.000 eV/atom

a = 5.643 Å, b = 5.643 Å, c = 5.643 Å
α = 60.00°, β = 60.00°, γ = 60.00°
Atoms (fractional coordinates):
1 In 0.500 0.500 0.500
2 K 0.000 0.000 0.000
3 Np 0.250 0.250 0.250

***

Computed, not measured: a relaxed structure of KInOs2O6 at the PBE level of DFT.

E_tot: -0.486 Ry per atom
Total magnetization: 0.85 μB/f.u.
Crystal system: monoclinic
Space group: C2/c, No. 15
Volume: 146.2 Å³/f.u.

a = 7.206 Å, b = 7.206 Å, c = 5.843 Å
α = 98.18°, β = 98.18°, γ = 78.71°
Atoms (fractional coordinates):
1 In 0.920 0.080 0.000
2 In 0.080 0.920 0.500
3 K 0.358 0.642 0.000
4 K 0.642 0.358 0.500
5 O 0.634 0.135 0.094
6 O 0.994 0.801 0.138
7 O 0.315 0.332 0.209
8 O 0.685 0.668 0.291
9 O 0.006 0.199 0.362
10 O 0.366 0.865 0.406
11 O 0.135 0.634 0.594
12 O 0.801 0.994 0.638
13 O 0.332 0.315 0.709
14 O 0.668 0.685 0.791
15 O 0.199 0.006 0.862
16 O 0.865 0.366 0.906
17 Os 0.877 0.579 0.115
18 Os 0.123 0.421 0.385
19 Os 0.579 0.877 0.615
20 Os 0.421 0.123 0.885

***

Computed, not measured: a relaxed structure of KInPd2O6 at the PBE level of DFT.

E_tot: -0.362 Ry per atom
Crystal system: monoclinic
Space group: C2/c, No. 15
Volume: 146.5 Å³/f.u.

a = 7.170 Å, b = 7.170 Å, c = 5.844 Å
α = 97.53°, β = 97.53°, γ = 81.95°
Atoms (fractional coordinates):
1 In 0.086 0.914 0.250
2 In 0.914 0.086 0.750
3 K 0.658 0.342 0.250
4 K 0.342 0.658 0.750
5 O 0.677 0.650 0.044
6 O 0.010 0.182 0.104
7 O 0.363 0.880 0.142
8 O 0.120 0.637 0.358
9 O 0.818 0.990 0.396
10 O 0.350 0.323 0.456
11 O 0.650 0.677 0.544
12 O 0.182 0.010 0.604
13 O 0.880 0.363 0.642
14 O 0.637 0.120 0.858
15 O 0.990 0.818 0.896
16 O 0.323 0.350 0.956
17 Pd 0.151 0.398 0.182
18 Pd 0.602 0.849 0.318
19 Pd 0.398 0.151 0.682
20 Pd 0.849 0.602 0.818

***

Q: Number 1 is which compound?
A: KNdInS3